DFT (GGA-PBE) results for a relaxed structure of Y2AgSn.

- D(E_F): 3.297 states/eV/f.u.
- Magnetic moment: 0.5 Bohr magnetons per cell
- VASP energy: -5.4701 eV per atom
- ΔE_f: -0.52 eV/atom
- Crystal system: tetragonal

Cell lengths 5.055, 5.055, 4.000 Å; angles 90.00, 90.00, 90.00 degrees
Space group P4/mmm (No. 123)
One atom of each set of equivalent atoms:
1 Y 0.000 0.500 0.000 [2 per cell]
2 Ag 0.000 0.000 0.500 [1 per cell]
3 Sn 0.500 0.500 0.500 [1 per cell]